Record 1
Material: Cs2NpBr3F3
Method: DFT, PBE
State: relaxed

As for the calculated total energy: -5.08 eV per atom.

The structure belongs to space group P-62m (No. 189); the cell edges are 8.9985, 8.9985 and 3.7874 Å and the angles 90.00°, 90.00° and 120.00°. The asymmetric unit holds Cs at (0.3333, 0.6667, 0.0000), Np at (0.0000, 0.0000, 0.5000), Br at (0.0000, 0.6672, 0.5000) and F at (0.0000, 0.1613, 0.0000).

Record 2
Material: Cs2Br6OF
Method: DFT, PBE
State: relaxed

As for the calculated total energy: -2.39 eV per atom.

The structure belongs to space group I4/mmm (No. 139); the cell edges are 7.7258, 7.7258 and 11.3840 Å and the angles 90.00°, 90.00° and 90.00°. The asymmetric unit holds Cs at (0.0000, 0.5000, 0.2500), Br at (0.0000, 0.0000, 0.1916), Br at (0.2038, 0.2038, 0.5000), O at (0.0000, 0.0000, 0.5000) and F at (0.0000, 0.0000, 0.0000).

Record 3
Material: CsBrO2F
Method: DFT, PBE
State: relaxed

As for the calculated total energy: -3.46 eV per atom.

The structure belongs to space group P4/mmm (No. 123); the cell edges are 3.9757, 3.9757 and 5.7464 Å and the angles 90.00°, 90.00° and 90.00°. The asymmetric unit holds Cs at (0.0000, 0.0000, 0.0000), Br at (0.5000, 0.5000, 0.5000), O at (0.0000, 0.5000, 0.5000) and F at (0.5000, 0.5000, 0.0000).

Record 4
Material: CsBrOF2
Method: DFT, PBE
State: relaxed

The energy relative to the lowest polymorph listed for this composition is 458 kJ/mol of formula units. As for the calculated total energy: -2.34 eV per atom.

The structure belongs to space group P4/mmm (No. 123); the cell edges are 5.1110, 5.1110 and 4.7662 Å and the angles 90.00°, 90.00° and 90.00°. The asymmetric unit holds Cs at (0.0000, 0.0000, 0.0000), Br at (0.5000, 0.5000, 0.5000), O at (0.0000, 0.0000, 0.5000) and F at (0.0000, 0.5000, 0.0000).

Record 5
Material: Cs12BrO3F4
Method: DFT, PBE
State: relaxed

As for the calculated total energy: -3.32 eV per atom.

The structure belongs to space group Im-3 (No. 204); the cell edges are 11.3052, 11.3052 and 11.3052 Å and the angles 90.00°, 90.00° and 90.00°. The asymmetric unit holds Cs at (0.0000, 0.3225, 0.1727), Br at (0.0000, 0.0000, 0.0000), O at (0.0000, 0.0000, 0.5000) and F at (0.2500, 0.2500, 0.2500).

Record 6
Material: Cs6BrO2F
Method: DFT, PBE
State: relaxed

As for the calculated total energy: -3.28 eV per atom.

The structure belongs to space group C2/c (No. 15); the cell edges are 12.9559, 16.5084 and 9.4952 Å and the angles 90.00°, 116.92° and 90.00°. The asymmetric unit holds Cs at (0.1119, 0.0594, 0.4654), Cs at (0.1212, 0.2394, 0.0722), Cs at (0.1339, 0.4283, 0.6826), Br at (0.0000, 0.3844, 0.2500), O at (0.1344, 0.0844, 0.1580) and F at (0.0000, 0.3006, 0.7500).

Record 7
Material: CsBrO2F
Method: DFT, PBE
State: relaxed

As for the calculated total energy: -2.37 eV per atom.

The structure belongs to space group P4/mmm (No. 123); the cell edges are 4.5152, 4.5152 and 5.4678 Å and the angles 90.00°, 90.00° and 90.00°. The asymmetric unit holds Cs at (0.0000, 0.0000, 0.0000), Br at (0.5000, 0.5000, 0.5000), O at (0.0000, 0.5000, 0.0000) and F at (0.0000, 0.0000, 0.5000).

Record 8
Material: Cs4BrOF
Method: DFT, PBE
State: relaxed

As for the calculated total energy: -3.35 eV per atom.

The structure belongs to space group P2_1/m (No. 11); the cell edges are 7.7935, 7.7131 and 9.3832 Å and the angles 90.00°, 101.40° and 90.00°. The asymmetric unit holds Cs at (0.0042, 0.2500, 0.4150), Cs at (0.2153, 0.2500, 0.8401), Cs at (0.4033, 0.5066, 0.3037), Br at (0.3204, 0.7500, 0.9288), O at (0.3457, 0.2500, 0.5669) and F at (0.1251, 0.7500, 0.3313).

Record 9
Material: Cs6Br2OF2
Method: DFT, PBE
State: relaxed

As for the calculated total energy: -3.42 eV per atom.

The structure belongs to space group C2/m (No. 12); the cell edges are 7.7319, 13.6072 and 8.7951 Å and the angles 90.00°, 107.46° and 90.00°. The asymmetric unit holds Cs at (0.2251, 0.1643, 0.1939), Cs at (0.2413, 0.0000, 0.8168), Br at (0.0000, 0.1666, 0.5000), O at (0.0000, 0.0000, 0.0000) and F at (0.0000, 0.3294, 0.0000).

Record 10
Material: CsBrOF2
Method: DFT, PBE
State: relaxed

The energy relative to the lowest polymorph listed for this composition is 0 kJ/mol of formula units. As for the calculated total energy: -3.29 eV per atom.

The structure belongs to space group P4/mmm (No. 123); the cell edges are 5.0051, 5.0051 and 3.8090 Å and the angles 90.00°, 90.00° and 90.00°. The asymmetric unit holds Cs at (0.0000, 0.0000, 0.0000), Br at (0.5000, 0.5000, 0.5000), O at (0.5000, 0.5000, 0.0000) and F at (0.0000, 0.5000, 0.5000).

Record 11
Material: Cs7BrO2F2
Method: DFT, PBE
State: relaxed

As for the calculated total energy: -3.36 eV per atom.

The structure belongs to space group C2/m (No. 12); the cell edges are 8.5340, 8.2774 and 14.0792 Å and the angles 90.00°, 106.38° and 90.00°. The asymmetric unit holds Cs at (0.0000, 0.0000, 0.0000), Cs at (0.1217, 0.2674, 0.7893), Cs at (0.2405, 0.0000, 0.4233), Br at (0.0000, 0.5000, 0.0000), O at (0.0842, 0.0000, 0.2218) and F at (0.0398, 0.5000, 0.3687).

Record 12
Material: Cs2OsBr2F4
Method: DFT, PBE
State: relaxed

As for the calculated total energy: -4.46 eV per atom.

The structure belongs to space group I4/mmm (No. 139); the cell edges are 7.3430, 7.3430 and 8.9045 Å and the angles 90.00°, 90.00° and 90.00°. The asymmetric unit holds Cs at (0.0000, 0.5000, 0.2500), Os at (0.0000, 0.0000, 0.0000), Br at (0.0000, 0.0000, 0.2815) and F at (0.1903, 0.1903, 0.0000).

Quick rundown of V, same order as above: 266 340 91 125 722 453 111 276 441 95 477 240 Å³/f.u.